SmTmPt4 | PBE-GGA | relaxed

space group: F-43m, No. 216
energy: -6.667 eV/atom
total moment: 0.00 μB/cell

Unit cell a=5.4467 b=5.4467 c=5.4467 alpha=60.00 beta=60.00 gamma=60.00
Fractional coordinates of all 6 atoms:
Pt: 0.6254 0.6254 0.6254
Pt: 0.6254 0.1239 0.6254
Pt: 0.1239 0.6254 0.6254
Pt: 0.6254 0.6254 0.1239
Sm: 0.2500 0.2500 0.2500
Tm: 0.0000 0.0000 0.0000

SmTm2Pt2 | PBE-GGA | relaxed

space group: P2_1/m, No. 11
energy: -6.201 eV/atom
total moment: 0.00 μB/cell

Unit cell a=4.6057 b=5.4232 c=10.3337 alpha=97.40 beta=90.00 gamma=90.00
Fractional coordinates of all 10 atoms:
Pt: 0.2500 0.6586 0.9714
Tm: 0.7500 0.2272 0.4696
Tm: 0.7500 0.8772 0.1137
Tm: 0.2500 0.1228 0.8863
Pt: 0.7500 0.7006 0.3671
Sm: 0.7500 0.5720 0.7820
Tm: 0.2500 0.7728 0.5304
Pt: 0.7500 0.3414 0.0286
Pt: 0.2500 0.2994 0.6329
Sm: 0.2500 0.4280 0.2180

Sm2Tm3Pt4 | PBE-GGA | relaxed

space group: P2_1/c, No. 14
energy: -6.423 eV/atom
total moment: 0.00 μB/cell

Unit cell a=7.6392 b=7.6100 c=7.6464 alpha=90.00 beta=90.00 gamma=109.84
Fractional coordinates of all 18 atoms:
Tm: 0.2531 0.7546 0.1644
Pt: 0.6311 0.5044 0.6351
Pt: 0.8561 0.0884 0.5389
Tm: 0.5000 0.5000 0.0000
Pt: 0.3561 0.0884 0.9611
Sm: 0.0746 0.1943 0.1777
Pt: 0.8689 0.4956 0.1351
Pt: 0.1439 0.9116 0.4611
Sm: 0.9254 0.8057 0.8223
Tm: 0.2469 0.2454 0.6644
Tm: 0.0000 0.5000 0.5000
Pt: 0.3689 0.4956 0.3649
Pt: 0.1311 0.5044 0.8649
Tm: 0.7469 0.2454 0.8356
Pt: 0.6439 0.9116 0.0389
Sm: 0.5746 0.1943 0.3223
Tm: 0.7531 0.7546 0.3356
Sm: 0.4254 0.8057 0.6777

SmTmPt2 | PBE-GGA | relaxed

space group: Pm, No. 6
energy: -6.568 eV/atom
energy relative to the lowest polymorph listed for this composition: 0.000 eV per atom
total moment: 0.00 μB/cell

Unit cell a=3.7905 b=4.4873 c=5.6342 alpha=90.00 beta=109.76 gamma=90.00
Fractional coordinates of all 4 atoms:
Sm: 0.7218 0.0000 0.9822
Pt: 0.1696 0.5000 0.8782
Tm: 0.4459 0.5000 0.4309
Pt: 0.9937 0.0000 0.5267

Sm3TmPt8 | PBE-GGA | relaxed

space group: R3m, No. 160
energy: -6.677 eV/atom
total moment: 0.00 μB/cell

Unit cell a=5.4659 b=5.4659 c=9.4718 alpha=73.23 beta=73.23 gamma=60.00
Fractional coordinates of all 12 atoms:
Pt: 0.4370 0.4370 0.1895
Sm: 0.9990 0.9990 0.0029
Sm: 0.3752 0.3752 0.8743
Pt: 0.9375 0.4395 0.6854
Pt: 0.9375 0.9375 0.6854
Tm: 0.8744 0.8744 0.3767
Pt: 0.1877 0.1877 0.4369
Pt: 0.4395 0.9375 0.6854
Pt: 0.9365 0.4370 0.1895
Pt: 0.6876 0.6876 0.9372
Sm: 0.5009 0.5009 0.4973
Pt: 0.4370 0.9365 0.1895

SmTmPt2 | PBE-GGA | relaxed

space group: R-3m, No. 166
energy: -6.438 eV/atom
energy relative to the lowest polymorph listed for this composition: 0.129 eV per atom
total moment: 0.00 μB/cell

Unit cell a=4.0881 b=4.0881 c=7.0627 alpha=73.18 beta=73.18 gamma=60.00
Fractional coordinates of all 4 atoms:
Sm: 0.5000 0.5000 0.5000
Pt: 0.2544 0.2544 0.2368
Tm: 0.0000 0.0000 0.0000
Pt: 0.7456 0.7456 0.7632

SmTm2Pt2 | PBE-GGA | relaxed

space group: P2_1/m, No. 11
energy: -6.202 eV/atom
total moment: 0.00 μB/cell

Unit cell a=4.6103 b=5.3793 c=10.8952 alpha=109.64 beta=90.00 gamma=90.00
Fractional coordinates of all 10 atoms:
Tm: 0.7500 0.2239 0.1159
Pt: 0.7500 0.6790 0.0251
Pt: 0.2500 0.8592 0.6338
Tm: 0.2500 0.7761 0.8841
Pt: 0.2500 0.3210 0.9749
Tm: 0.2500 0.2850 0.5294
Sm: 0.2500 0.7985 0.2164
Sm: 0.7500 0.2015 0.7836
Pt: 0.7500 0.1408 0.3662
Tm: 0.7500 0.7150 0.4706

SmTm4Pt4 | PBE-GGA | relaxed

space group: P4_2/n, No. 86
energy: -6.274 eV/atom
total moment: 0.00 μB/cell

Unit cell a=5.6538 b=9.0315 c=9.0315 alpha=90.00 beta=90.00 gamma=90.00
Fractional coordinates of all 18 atoms:
Pt: 0.0829 0.1284 0.2904
Pt: 0.4171 0.3716 0.2096
Pt: 0.5829 0.7904 0.3716
Tm: 0.0844 0.8336 0.4000
Tm: 0.4156 0.3336 0.9000
Pt: 0.5829 0.2096 0.6284
Sm: 0.5000 0.5000 0.5000
Pt: 0.0829 0.8716 0.7096
Sm: 0.0000 0.0000 0.0000
Tm: 0.5844 0.1000 0.3336
Pt: 0.4171 0.6284 0.7904
Tm: 0.0844 0.1664 0.6000
Pt: 0.9171 0.7096 0.1284
Tm: 0.4156 0.6664 0.1000
Pt: 0.9171 0.2904 0.8716
Tm: 0.9156 0.4000 0.1664
Tm: 0.9156 0.6000 0.8336
Tm: 0.5844 0.9000 0.6664

Sm3TmPt2 | PBE-GGA | relaxed

space group: Pmc2_1, No. 26
energy: -5.996 eV/atom
total moment: 0.00 μB/cell

Unit cell a=4.8241 b=7.2455 c=8.9930 alpha=90.00 beta=90.00 gamma=90.00
Fractional coordinates of all 12 atoms:
Sm: 0.0000 0.8550 0.6621
Pt: 0.5000 0.2376 0.1626
Pt: 0.5000 0.7376 0.8374
Tm: 0.5000 0.5060 0.5865
Pt: 0.0000 0.7643 0.3445
Sm: 0.0000 0.9932 0.0852
Sm: 0.0000 0.3550 0.3379
Tm: 0.5000 0.0060 0.4135
Pt: 0.0000 0.2643 0.6555
Sm: 0.0000 0.4932 0.9148
Sm: 0.5000 0.1439 0.8318
Sm: 0.5000 0.6439 0.1682

Sm2TmPt2 | PBE-GGA | relaxed

space group: P4/mbm, No. 127
energy: -6.218 eV/atom
total moment: 0.00 μB/cell

Unit cell a=4.0941 b=7.7478 c=7.7478 alpha=90.00 beta=90.00 gamma=90.00
Fractional coordinates of all 10 atoms:
Pt: 0.0000 0.8600 0.6400
Sm: 0.5000 0.3371 0.1629
Sm: 0.5000 0.6629 0.8371
Pt: 0.0000 0.6400 0.1400
Sm: 0.5000 0.8371 0.3371
Tm: 0.0000 0.5000 0.5000
Tm: 0.0000 0.0000 0.0000
Sm: 0.5000 0.1629 0.6629
Pt: 0.0000 0.1400 0.3600
Pt: 0.0000 0.3600 0.8600

SmTmPt2 | PBE-GGA | relaxed

space group: Fm-3m, No. 225
energy: -6.498 eV/atom
energy relative to the lowest polymorph listed for this composition: 0.070 eV per atom
total moment: 0.00 μB/cell

Unit cell a=4.9678 b=4.9678 c=4.9678 alpha=60.00 beta=60.00 gamma=60.00
Fractional coordinates of all 4 atoms:
Sm: 0.5000 0.5000 0.5000
Tm: 0.0000 0.0000 0.0000
Pt: 0.2500 0.2500 0.2500
Pt: 0.7500 0.7500 0.7500

Sm2Tm2Pt15 | PBE-GGA | relaxed

space group: R-3m, No. 166
energy: -6.475 eV/atom
total moment: 0.00 μB/cell

Unit cell a=7.0917 b=7.0917 c=7.0917 alpha=82.27 beta=82.27 gamma=82.27
Fractional coordinates of all 19 atoms:
Pt: 0.6891 0.3109 0.0000
Sm: 0.3584 0.3584 0.3584
Pt: 0.8408 0.3468 0.3468
Pt: 0.0000 0.0000 0.5000
Pt: 0.6532 0.6532 0.1592
Pt: 0.3468 0.3468 0.8408
Pt: 0.0000 0.5000 0.0000
Pt: 0.0000 0.3109 0.6891
Pt: 0.0000 0.6891 0.3109
Tm: 0.1065 0.1065 0.1065
Pt: 0.5000 0.0000 0.0000
Sm: 0.6416 0.6416 0.6416
Pt: 0.6891 0.0000 0.3109
Tm: 0.8935 0.8935 0.8935
Pt: 0.1592 0.6532 0.6532
Pt: 0.6532 0.1592 0.6532
Pt: 0.3468 0.8408 0.3468
Pt: 0.3109 0.0000 0.6891
Pt: 0.3109 0.6891 0.0000

Sm2TmZn3Pt4 | PBE-GGA | relaxed

space group: P-4m2, No. 115
energy: -5.037 eV/atom
total moment: 0.00 μB/cell

Unit cell a=4.1428 b=4.1428 c=11.7035 alpha=90.00 beta=90.00 gamma=90.00
Fractional coordinates of all 10 atoms:
Sm: 0.0000 0.5000 0.7747
Pt: 0.0000 0.5000 0.3427
Tm: 0.5000 0.5000 0.5000
Sm: 0.5000 0.0000 0.2253
Pt: 0.0000 0.0000 0.0000
Zn: 0.0000 0.0000 0.5000
Zn: 0.5000 0.0000 0.8724
Pt: 0.5000 0.5000 0.0000
Zn: 0.0000 0.5000 0.1276
Pt: 0.5000 0.0000 0.6573

SmTmZnPt | PBE-GGA | relaxed

space group: P4mm, No. 99
energy: -4.914 eV/atom
energy relative to the lowest polymorph listed for this composition: 0.000 eV per atom
total moment: 0.00 μB/cell

Unit cell a=3.5640 b=3.5640 c=6.9941 alpha=90.00 beta=90.00 gamma=90.00
Fractional coordinates of all 4 atoms:
Zn: 0.0000 0.0000 0.3739
Sm: 0.5000 0.5000 0.1012
Tm: 0.5000 0.5000 0.6164
Pt: 0.0000 0.0000 0.8364

SmTmZnPt | PBE-GGA | relaxed

space group: F-43m, No. 216
energy: -4.890 eV/atom
energy relative to the lowest polymorph listed for this composition: 0.024 eV per atom
total moment: 0.00 μB/cell

Unit cell a=5.0047 b=5.0047 c=5.0047 alpha=60.00 beta=60.00 gamma=60.00
Fractional coordinates of all 4 atoms:
Zn: 0.2500 0.2500 0.2500
Tm: 0.0000 0.0000 0.0000
Pt: 0.7500 0.7500 0.7500
Sm: 0.5000 0.5000 0.5000

SmUPt | PBE-GGA | relaxed

space group: I4/mmm, No. 139
energy: -7.673 eV/atom
total moment: 0.97 μB/cell

Unit cell a=3.8577 b=3.8577 c=10.0998 alpha=101.01 beta=101.01 gamma=90.00
Each line ends with the local moment (μB).
Fractional coordinates of all 6 atoms:
Pt: 0.4312 0.4312 0.8625  -0.01
U: 0.2750 0.2750 0.5501  0.47
Sm: 0.1011 0.1011 0.2023  0.00
U: 0.7250 0.7250 0.4499  0.47
Pt: 0.5688 0.5688 0.1375  -0.01
Sm: 0.8989 0.8989 0.7977  0.00

SmU2Pt9 | PBE-GGA | relaxed

space group: R-3m, No. 166
energy: -7.535 eV/atom
energy relative to the lowest polymorph listed for this composition: 0.091 eV per atom
total moment: 4.29 μB/cell

Unit cell a=5.3942 b=5.3942 c=9.4434 alpha=73.41 beta=73.41 gamma=60.00
Each line ends with the local moment (μB).
Fractional coordinates of all 12 atoms:
Pt: 0.4121 0.4121 0.2577  -0.08
Pt: 0.6672 0.6672 0.9985  -0.03
Sm: 0.0000 0.0000 0.0000  0.03
Pt: 0.9181 0.4121 0.2577  -0.08
Pt: 0.5000 0.5000 0.5000  -0.08
Pt: 0.0819 0.5879 0.7423  -0.08
Pt: 0.4121 0.9181 0.2577  -0.08
Pt: 0.5879 0.5879 0.7423  -0.08
Pt: 0.5879 0.0819 0.7423  -0.08
U: 0.8589 0.8589 0.4232  2.19
U: 0.1411 0.1411 0.5768  2.19
Pt: 0.3328 0.3328 0.0015  -0.03

SmUPt6 | PBE-GGA | relaxed

space group: P4/mmm, No. 123
energy: -7.401 eV/atom
total moment: 1.26 μB/cell

Unit cell a=4.1631 b=4.1631 c=8.3099 alpha=90.00 beta=90.00 gamma=90.00
Each line ends with the local moment (μB).
Fractional coordinates of all 8 atoms:
Pt: 0.5000 0.5000 0.5000  -0.03
Pt: 0.0000 0.5000 0.7424  -0.01
Pt: 0.0000 0.5000 0.2576  -0.01
Sm: 0.0000 0.0000 0.0000  0.00
U: 0.0000 0.0000 0.5000  1.32
Pt: 0.5000 0.0000 0.7424  -0.01
Pt: 0.5000 0.0000 0.2576  -0.01
Pt: 0.5000 0.5000 0.0000  -0.01

SmU2Pt9 | PBE-GGA | relaxed

space group: P4/mmm, No. 123
energy: -7.626 eV/atom
energy relative to the lowest polymorph listed for this composition: 0.000 eV per atom
total moment: 3.26 μB/cell

Unit cell a=4.1626 b=4.1626 c=12.4703 alpha=90.00 beta=90.00 gamma=90.00
Each line ends with the local moment (μB).
Fractional coordinates of all 12 atoms:
Sm: 0.0000 0.0000 0.0000  0.00
U: 0.0000 0.0000 0.6673  1.64
Pt: 0.5000 0.5000 0.0000  -0.01
U: 0.0000 0.0000 0.3327  1.64
Pt: 0.0000 0.5000 0.5000  -0.02
Pt: 0.5000 0.5000 0.6655  -0.02
Pt: 0.5000 0.0000 0.1711  -0.01
Pt: 0.0000 0.5000 0.8289  -0.01
Pt: 0.5000 0.0000 0.8289  -0.01
Pt: 0.5000 0.5000 0.3345  -0.02
Pt: 0.5000 0.0000 0.5000  -0.02
Pt: 0.0000 0.5000 0.1711  -0.01

Sm3UPt12 | PBE-GGA | relaxed

space group: P4/mmm, No. 123
energy: -7.027 eV/atom
total moment: 1.00 μB/cell

Unit cell a=4.1683 b=4.1683 c=16.6194 alpha=90.00 beta=90.00 gamma=90.00
Each line ends with the local moment (μB).
Fractional coordinates of all 16 atoms:
Pt: 0.5000 0.0000 0.3742  -0.01
Pt: 0.5000 0.5000 0.0000  -0.04
Pt: 0.5000 0.5000 0.2475  -0.01
Pt: 0.0000 0.5000 0.8807  -0.03
Pt: 0.0000 0.5000 0.3742  -0.01
Pt: 0.5000 0.5000 0.5000  -0.01
Sm: 0.0000 0.0000 0.2516  0.00
U: 0.0000 0.0000 0.0000  1.18
Sm: 0.0000 0.0000 0.5000  0.00
Pt: 0.5000 0.0000 0.6258  -0.01
Sm: 0.0000 0.0000 0.7484  0.00
Pt: 0.5000 0.0000 0.1193  -0.03
Pt: 0.5000 0.5000 0.7525  -0.01
Pt: 0.0000 0.5000 0.6258  -0.01
Pt: 0.5000 0.0000 0.8807  -0.03
Pt: 0.0000 0.5000 0.1193  -0.03